No. 1
A plane-wave DFT calculation with GGA-PBE was carried out for Cs2SrU2S7 after structural relaxation.

abc: 14.3398 14.3398 14.3398
angles: 158.95 158.95 29.94
Fractional coordinates of all 12 atoms:
Cs 0.1857 0.1857 0.0000
Cs 0.8143 0.8143 0.0000
Sr 0.0000 0.0000 0.0000
U 0.4069 0.4069 0.0000
U 0.5931 0.5931 0.0000
S 0.0818 0.5818 0.5000
S 0.3176 0.3176 0.0000
S 0.4182 0.9182 0.5000
S 0.5000 0.5000 0.0000
S 0.5818 0.0818 0.5000
S 0.6824 0.6824 0.0000
S 0.9182 0.4182 0.5000

## Properties
E_tot: -6.0196 eV per atom
E_form (uncorrected): -1.448 eV/atom

No. 2
A plane-wave DFT calculation with GGA-PBE was carried out for Cs3Sr2US6 after structural relaxation.

abc: 7.4609 7.4609 8.4024
angles: 98.49 98.49 119.92
Fractional coordinates of all 12 atoms:
Cs 0.0000 0.0000 0.0000
Cs 0.3271 0.6729 0.0000
Cs 0.6729 0.3271 0.0000
Sr 0.1661 0.8339 0.5000
Sr 0.8339 0.1661 0.5000
U 0.5000 0.5000 0.5000
S 0.1417 0.4383 0.3151
S 0.2672 0.2672 0.6878
S 0.4383 0.1417 0.3151
S 0.5617 0.8583 0.6849
S 0.7328 0.7328 0.3122
S 0.8583 0.5617 0.6849

## Properties
E_tot: -5.1229 eV per atom
E_form (uncorrected): -1.625 eV/atom

No. 3
A plane-wave DFT calculation with GGA-PBE was carried out for Cs2SrU3S8 after structural relaxation.

abc: 9.7925 9.7925 9.7925
angles: 49.76 49.76 49.76
Fractional coordinates of all 14 atoms:
Cs 0.0000 0.0000 0.0000
Cs 0.3480 0.3480 0.3480
Sr 0.8387 0.8387 0.8387
U 0.3516 0.3516 0.8467
U 0.3516 0.8467 0.3516
U 0.8467 0.3516 0.3516
S 0.0796 0.0796 0.5535
S 0.0796 0.5535 0.0796
S 0.1309 0.1309 0.1309
S 0.1615 0.6072 0.6072
S 0.5535 0.0796 0.0796
S 0.5709 0.5709 0.5709
S 0.6072 0.1615 0.6072
S 0.6072 0.6072 0.1615

## Properties
E_tot: -6.5393 eV per atom
E_form (uncorrected): -1.520 eV/atom

No. 4
A plane-wave DFT calculation with GGA-PBE was carried out for Cs2Sr2US6 after structural relaxation.

abc: 7.2903 7.2903 8.5415
angles: 98.74 98.74 118.87
Fractional coordinates of all 11 atoms:
Cs 0.1747 0.8253 0.0000
Cs 0.8253 0.1747 0.0000
Sr 0.3352 0.6648 0.5000
Sr 0.6648 0.3352 0.5000
U 0.0000 0.0000 0.5000
S 0.0604 0.3534 0.6800
S 0.2236 0.2236 0.3190
S 0.3534 0.0604 0.6800
S 0.6466 0.9396 0.3200
S 0.7764 0.7764 0.6810
S 0.9396 0.6466 0.3200

## Properties
E_tot: -5.3486 eV per atom
E_form (uncorrected): -1.610 eV/atom

No. 5
A plane-wave DFT calculation with GGA-PBE was carried out for CsSr2US5 after structural relaxation.

abc: 8.4161 8.4161 8.4161
angles: 144.28 126.11 66.35
Fractional coordinates of all 9 atoms:
Cs 0.0000 0.0000 0.0000
Sr 0.2873 0.7873 0.5000
Sr 0.7127 0.2127 0.5000
U 0.5000 0.5000 0.0000
S 0.1339 0.3619 0.7720
S 0.4101 0.6381 0.7720
S 0.5000 0.0000 0.5000
S 0.5899 0.3619 0.2280
S 0.8661 0.6381 0.2280

## Properties
E_tot: -5.7057 eV per atom
E_form (uncorrected): -1.690 eV/atom

No. 6
A plane-wave DFT calculation with GGA-PBE was carried out for Cs2SrV2S6 after structural relaxation.

abc: 8.4903 8.4903 8.4903
angles: 53.17 53.17 53.17
Fractional coordinates of all 11 atoms:
Cs 0.2328 0.2328 0.2328
Cs 0.7672 0.7672 0.7672
Sr 0.0000 0.0000 0.0000
V 0.4387 0.4387 0.4387
V 0.5613 0.5613 0.5613
S 0.2603 0.2603 0.7343
S 0.2603 0.7343 0.2603
S 0.2657 0.7397 0.7397
S 0.7343 0.2603 0.2603
S 0.7397 0.2657 0.7397
S 0.7397 0.7397 0.2657

## Properties
E_tot: -5.3396 eV per atom
E_form (uncorrected): -1.122 eV/atom

No. 7
A plane-wave DFT calculation with GGA-PBE was carried out for Cs2SrWS4 after structural relaxation.

abc: 15.0244 13.5413 8.0919
angles: 83.95 63.67 32.38
Fractional coordinates of all 16 atoms:
Cs 0.0582 0.0582 0.6918
Cs 0.3082 0.3082 0.9418
Cs 0.6918 0.6918 0.0582
Cs 0.9418 0.9418 0.3082
Sr 0.1250 0.1250 0.1250
Sr 0.8750 0.8750 0.8750
W 0.3750 0.3750 0.3750
W 0.6250 0.6250 0.6250
S 0.0408 0.6118 0.5170
S 0.3304 0.5170 0.6118
S 0.3882 0.9592 0.6696
S 0.4830 0.6696 0.9592
S 0.5170 0.3304 0.0408
S 0.6118 0.0408 0.3304
S 0.6696 0.4830 0.3882
S 0.9592 0.3882 0.4830

## Properties
E_tot: -5.0450 eV per atom
E_form (uncorrected): -0.938 eV/atom

No. 8
A plane-wave DFT calculation with GGA-PBE was carried out for Cs3TaS4 after structural relaxation.

abc: 7.6687 7.6687 7.6687
angles: 121.29 92.65 115.75
Fractional coordinates of all 8 atoms:
Cs 0.0000 0.0000 0.0000
Cs 0.3158 0.5527 0.7632
Cs 0.7895 0.5527 0.2368
Ta 0.4918 0.9918 0.5000
S 0.3283 0.0734 0.7452
S 0.3283 0.5831 0.2548
S 0.4688 0.1487 0.3202
S 0.8285 0.1487 0.6798

## Properties
E_tot: -5.1125 eV per atom
E_form (uncorrected): -1.247 eV/atom

No. 9
A plane-wave DFT calculation with GGA-PBE was carried out for CsTa3S after structural relaxation.

abc: 4.7929 4.7929 4.7929
angles: 90.00 90.00 90.00
Fractional coordinates of all 5 atoms:
Cs 0.0000 0.0000 0.0000
Ta 0.0000 0.5000 0.5000
Ta 0.5000 0.0000 0.5000
Ta 0.5000 0.5000 0.0000
S 0.5000 0.5000 0.5000

## Properties
E_tot: -6.8888 eV per atom
E_form (uncorrected): 1.219 eV/atom

No. 10
A plane-wave DFT calculation with GGA-PBE was carried out for Cs4TaS5 after structural relaxation.

abc: 8.2201 8.2201 8.2201
angles: 100.63 100.63 129.13
Fractional coordinates of all 10 atoms:
Cs 0.0950 0.7028 0.7977
Cs 0.2972 0.0950 0.3922
Cs 0.7028 0.9050 0.6078
Cs 0.9050 0.2972 0.2023
Ta 0.4251 0.4251 0.0000
S 0.1026 0.1026 0.0000
S 0.2963 0.4395 0.7184
S 0.4395 0.7212 0.1432
S 0.5780 0.2963 0.8568
S 0.7212 0.5780 0.2816

## Properties
E_tot: -4.6729 eV per atom
E_form (uncorrected): -1.082 eV/atom

No. 11
A plane-wave DFT calculation with GGA-PBE was carried out for CsTa3S after structural relaxation.

abc: 5.0493 5.0493 5.0493
angles: 90.00 90.00 90.00
Fractional coordinates of all 5 atoms:
Cs 0.0000 0.0000 0.0000
Ta 0.0000 0.0000 0.5000
Ta 0.0000 0.5000 0.0000
Ta 0.5000 0.0000 0.0000
S 0.5000 0.5000 0.5000

## Properties
E_tot: -4.7235 eV per atom
E_form (uncorrected): 3.384 eV/atom

No. 12
A plane-wave DFT calculation with GGA-PBE was carried out for Cs2TaS4 after structural relaxation.

abc: 8.3719 6.8153 8.5273
angles: 90.00 111.74 90.00
Fractional coordinates of all 14 atoms:
Cs 0.0078 0.2500 0.3417
Cs 0.3336 0.2500 0.0000
Cs 0.6664 0.7500 0.0000
Cs 0.9922 0.7500 0.6583
Ta 0.4128 0.7500 0.3883
Ta 0.5872 0.2500 0.6117
S 0.0991 0.7500 0.2927
S 0.2839 0.7500 0.0886
S 0.3927 0.5089 0.6151
S 0.3927 0.9911 0.6151
S 0.6073 0.0089 0.3849
S 0.6073 0.4911 0.3849
S 0.7161 0.2500 0.9114
S 0.9009 0.2500 0.7073

## Properties
E_tot: -5.2852 eV per atom
E_form (uncorrected): -0.990 eV/atom

Which formula does entry 10 have? Cs4TaS5

Look up the E_form (uncorrected) of the seventh one. -0.938 eV/atom